[1]
## Al2InSe (PBE-GGA)

Data for Al2InSe after structural relaxation.

Results
- Formation energy (no corrections): 99 meV per atom
- E: -3.328 eV/atom

abc: 3.565 4.463 5.417
angles: 90.00 90.00 90.00
Space group Pmmm (No. 47)
Symmetry-distinct sites (fractional):
Al  0.000  0.000  0.000 x1
Al  0.500  0.000  0.500 x1
In  0.000  0.500  0.500 x1
Se  0.500  0.500  0.000 x1

---

[2]
## CoReNi2Rh (PBE-GGA)

Data for CoReNi2Rh after structural relaxation.

Results
- E: -6.140 eV/atom
- Formation energy from the elements: 1553.3 meV/atom

abc: 4.429 4.429 4.346
angles: 90.00 90.00 90.00
Space group P4/mmm (No. 123)
Symmetry-distinct sites (fractional):
Co  0.000  0.000  0.000 x1
Re  0.000  0.000  0.500 x1
Ni  0.000  0.500  0.500 x2
Rh  0.500  0.500  0.000 x1

---

[3]
## Cs2TmGaCl6 (PBE-GGA)

Data for Cs2TmGaCl6 after structural relaxation.

Results
- Formation energy (no corrections): -1911 meV per atom
- E: -3.940 eV/atom

abc: 11.114 11.114 11.114
angles: 90.00 90.00 90.00
Space group Fm-3m (No. 225)
Symmetry-distinct sites (fractional):
Cs  0.250  0.250  0.250 x8
Tm  0.000  0.000  0.000 x4
Ga  0.000  0.000  0.500 x4
Cl  0.000  0.000  0.235 x24

---

[4]
## LiGa2Cu6 (PBE-GGA)

Data for LiGa2Cu6 after structural relaxation.

Results
- E: -3.681 eV/atom
- Formation energy from the elements: -64.9 meV/atom

abc: 12.291 8.663 4.386
angles: 90.00 97.89 90.00
Space group C2/c (No. 15)
Symmetry-distinct sites (fractional):
Li  0.000  0.128  0.250 x4
Ga  0.161  0.363  0.089 x8
Cu  0.055  0.376  0.537 x8
Cu  0.111  0.118  0.799 x8
Cu  0.228  0.116  0.365 x8

---

[5]
## HoZrTlZn (PBE-GGA)

Data for HoZrTlZn after structural relaxation.

Results
- E: -4.357 eV/atom
- Formation energy from the elements: -165.7 meV/atom

abc: 7.135 7.135 7.135
angles: 90.00 90.00 90.00
Space group F-43m (No. 216)
Symmetry-distinct sites (fractional):
Ho  0.000  0.000  0.000 x4
Zr  0.000  0.000  0.500 x4
Tl  0.250  0.250  0.250 x4
Zn  0.250  0.250  0.750 x4

---

[6]
## InTc2Cl (PBE-GGA)

Data for InTc2Cl after structural relaxation.

Results
- Formation energy (no corrections): 391 meV per atom
- E: -5.938 eV/atom

abc: 10.163 3.264 7.727
angles: 90.00 129.27 90.00
Space group C2/m (No. 12)
Symmetry-distinct sites (fractional):
In  0.000  0.000  0.000 x2
Tc  0.202  0.000  0.866 x4
Cl  0.000  0.500  0.500 x2

---

[7]
## FeAs2W (PBE-GGA)

Data for FeAs2W after structural relaxation.

Results
- E: -7.176 eV/atom
- Formation energy from the elements: 502.5 meV/atom

abc: 3.188 3.967 4.906
angles: 90.00 90.00 90.00
Space group Pmmm (No. 47)
Symmetry-distinct sites (fractional):
Fe  0.000  0.000  0.000 x1
As  0.000  0.500  0.500 x1
As  0.500  0.500  0.000 x1
W  0.500  0.000  0.500 x1

---

Number 1: total magnetization 0.0 μB/f.u., theoretical density 4.77 g/cm³, DOS(E_F) 0.490 states/eV/atom. Number 2: total magnetization 1.2 μB/f.u., theoretical density 9.06 g/cm³, DOS(E_F) 1.829 states/eV/atom. Number 3: total magnetization 0.0 μB/f.u., theoretical density 3.47 g/cm³, DOS(E_F) 0.000 states/eV/atom. Number 4: total magnetization 0.0 μB/f.u., theoretical density 7.58 g/cm³, DOS(E_F) 0.180 states/eV/atom. Number 5: total magnetization 0.0 μB/f.u., theoretical density 9.62 g/cm³, DOS(E_F) 0.781 states/eV/atom. Number 6: total magnetization 0.0 μB/f.u., theoretical density 5.79 g/cm³, DOS(E_F) 0.752 states/eV/atom. Number 7: total magnetization 2.2 μB/f.u., theoretical density 10.43 g/cm³, DOS(E_F) 0.933 states/eV/atom.